[1]
# PBE-GGA FeAgW2, relaxed
# Excess energy over the best structure of this formula in the dataset   157 meV/atom
data_FeAgW2
_chemical_formula_sum 'Fe1 Ag1 W2'
_space_group_name_H-M_alt 'P 1 m 1'
_space_group_IT_number 6
_cell_length_a 2.663
_cell_length_b 4.416
_cell_length_c 5.287
_cell_angle_alpha 90.00
_cell_angle_beta 98.16
_cell_angle_gamma 90.00
loop_
_space_group_symop_operation_xyz
'x,y,z'
'x,-y,z'
loop_
_atom_site_label
_atom_site_fract_x
_atom_site_fract_y
_atom_site_fract_z
Fe1 0.000 0.000 0.000
Ag1 0.091 0.500 0.733
W1 0.466 0.000 0.475
W2 0.704 0.500 0.214

=====

[2]
# PBE-GGA FeAg2W, relaxed
# Excess energy over the best structure of this formula in the dataset   297 meV/atom
data_FeAg2W
_chemical_formula_sum 'Fe2 Ag4 W2'
_space_group_name_H-M_alt 'I m m 2'
_space_group_IT_number 44
_cell_length_a 2.977
_cell_length_b 4.752
_cell_length_c 9.087
_cell_angle_alpha 90.00
_cell_angle_beta 90.00
_cell_angle_gamma 90.00
loop_
_space_group_symop_operation_xyz
'x,y,z'
'-x,-y,z'
'-x,y,z'
'x,-y,z'
'x+1/2,y+1/2,z+1/2'
'-x+1/2,-y+1/2,z+1/2'
'-x+1/2,y+1/2,z+1/2'
'x+1/2,-y+1/2,z+1/2'
loop_
_atom_site_label
_atom_site_fract_x
_atom_site_fract_y
_atom_site_fract_z
Fe1 0.000 0.000 0.000
Ag1 0.000 0.000 0.474
Ag2 0.000 0.500 0.248
W1 0.000 0.500 0.695

=====

[3]
# PBE-GGA FeAgW2, relaxed
# Excess energy over the best structure of this formula in the dataset   0 meV/atom
data_FeAgW2
_chemical_formula_sum 'Fe2 Ag2 W4'
_space_group_name_H-M_alt 'C m m 2'
_space_group_IT_number 35
_cell_length_a 3.184
_cell_length_b 4.383
_cell_length_c 8.940
_cell_angle_alpha 90.00
_cell_angle_beta 90.00
_cell_angle_gamma 90.00
loop_
_space_group_symop_operation_xyz
'x,y,z'
'-x,-y,z'
'-x,y,z'
'x,-y,z'
'x+1/2,y+1/2,z'
'-x+1/2,-y+1/2,z'
'-x+1/2,y+1/2,z'
'x+1/2,-y+1/2,z'
loop_
_atom_site_label
_atom_site_fract_x
_atom_site_fract_y
_atom_site_fract_z
Fe1 0.000 0.000 0.000
Ag1 0.000 0.500 0.249
W1 0.000 0.000 0.521
W2 0.000 0.500 0.773

=====

[4]
# PBE-GGA FeAgW2, relaxed
# Excess energy over the best structure of this formula in the dataset   128 meV/atom
data_FeAgW2
_chemical_formula_sum 'Fe1 Ag1 W2'
_space_group_name_H-M_alt 'P 4 m m'
_space_group_IT_number 99
_cell_length_a 2.696
_cell_length_b 2.696
_cell_length_c 8.513
_cell_angle_alpha 90.00
_cell_angle_beta 90.00
_cell_angle_gamma 90.00
loop_
_space_group_symop_operation_xyz
'x,y,z'
'-y,x,z'
'-x,-y,z'
'y,-x,z'
'-x,y,z'
'y,x,z'
'x,-y,z'
'-y,-x,z'
loop_
_atom_site_label
_atom_site_fract_x
_atom_site_fract_y
_atom_site_fract_z
Fe1 0.000 0.000 0.000
Ag1 0.500 0.500 0.756
W1 0.000 0.000 0.488
W2 0.500 0.500 0.222

=====

[5]
# PBE-GGA FeAgW2, relaxed
# Excess energy over the best structure of this formula in the dataset   338 meV/atom
data_FeAgW2
_chemical_formula_sum 'Fe4 Ag4 W8'
_space_group_name_H-M_alt 'F -4 3 m'
_space_group_IT_number 216
_space_group_name_Hall 'F -4 2 3'
_cell_length_a 6.298
_cell_length_b 6.298
_cell_length_c 6.298
_cell_angle_alpha 90.00
_cell_angle_beta 90.00
_cell_angle_gamma 90.00
loop_
_atom_site_label
_atom_site_fract_x
_atom_site_fract_y
_atom_site_fract_z
Fe1 0.000 0.000 0.000
Ag1 0.250 0.250 0.750
W1 0.000 0.000 0.500
W2 0.250 0.250 0.250

=====

[6]
# PBE-GGA FeAg2W, relaxed
# Excess energy over the best structure of this formula in the dataset   297 meV/atom
data_FeAg2W
_chemical_formula_sum 'Fe2 Ag4 W2'
_space_group_name_H-M_alt 'I m m m'
_space_group_IT_number 71
_space_group_name_Hall '-I 2 2'
_cell_length_a 2.800
_cell_length_b 4.589
_cell_length_c 9.826
_cell_angle_alpha 90.00
_cell_angle_beta 90.00
_cell_angle_gamma 90.00
loop_
_atom_site_label
_atom_site_fract_x
_atom_site_fract_y
_atom_site_fract_z
Fe1 0.000 0.000 0.000
Ag1 0.000 0.500 0.265
W1 0.000 0.000 0.500

=====

[7]
The following is a DFT calculation (PBE-GGA) of a relaxed YFeAgW2 crystal.

The structure in CIF format:
```
data_YFeAgW2
_chemical_formula_sum 'Y1 Fe1 Ag1 W2'
_space_group_name_H-M_alt 'P 4/m m m'
_space_group_IT_number 123
_space_group_name_Hall '-P 4 2'
_cell_length_a 4.874
_cell_length_b 4.874
_cell_length_c 4.638
_cell_angle_alpha 90.00
_cell_angle_beta 90.00
_cell_angle_gamma 90.00
loop_
_atom_site_label
_atom_site_fract_x
_atom_site_fract_y
_atom_site_fract_z
Y1 0.000 0.000 0.000
Fe1 0.000 0.000 0.500
Ag1 0.500 0.500 0.500
W1 0.000 0.500 0.000
```

=====

[8]
# PBE-GGA YFeAg3, relaxed
# Excess energy over the best structure of this formula in the dataset   989 meV/atom
data_YFeAg3
_chemical_formula_sum 'Y1 Fe1 Ag3'
_space_group_name_H-M_alt 'P m -3 m'
_space_group_IT_number 221
_space_group_name_Hall '-P 4 2 3'
_cell_length_a 5.362
_cell_length_b 5.362
_cell_length_c 5.362
_cell_angle_alpha 90.00
_cell_angle_beta 90.00
_cell_angle_gamma 90.00
loop_
_atom_site_label
_atom_site_fract_x
_atom_site_fract_y
_atom_site_fract_z
Y1 0.000 0.000 0.000
Fe1 0.500 0.500 0.500
Ag1 0.000 0.000 0.500

=====

[9]
# PBE-GGA YFe2Ag, relaxed
# Excess energy over the best structure of this formula in the dataset   264 meV/atom
data_YFe2Ag
_chemical_formula_sum 'Y1 Fe2 Ag1'
_space_group_name_H-M_alt 'P 1 2/m 1'
_space_group_IT_number 10
_cell_length_a 3.138
_cell_length_b 4.683
_cell_length_c 5.079
_cell_angle_alpha 90.00
_cell_angle_beta 93.85
_cell_angle_gamma 90.00
loop_
_space_group_symop_operation_xyz
'x,y,z'
'-x,-y,-z'
'-x,y,-z'
'x,-y,z'
loop_
_atom_site_label
_atom_site_fract_x
_atom_site_fract_y
_atom_site_fract_z
Y1 0.000 0.000 0.000
Fe1 0.415 0.500 0.759
Ag1 0.500 0.000 0.500

=====

[10]
# PBE-GGA YFe2Ag, relaxed
# Excess energy over the best structure of this formula in the dataset   479 meV/atom
data_YFe2Ag
_chemical_formula_sum 'Y3 Fe6 Ag3'
_space_group_name_H-M_alt 'R -3 m'
_space_group_IT_number 166
_space_group_name_Hall '-R 3 2"'
_cell_length_a 3.0176
_cell_length_b 3.0176
_cell_length_c 27.5204
_cell_angle_alpha 90.00
_cell_angle_beta 90.00
_cell_angle_gamma 120.00
loop_
_atom_site_label
_atom_site_fract_x
_atom_site_fract_y
_atom_site_fract_z
Y1 0.0000 0.0000 0.0000
Fe1 0.0000 0.0000 0.2456
Ag1 0.0000 0.0000 0.5000

=====

[11]
# PBE-GGA YFe2Ag, relaxed
# Excess energy over the best structure of this formula in the dataset   208 meV/atom
data_YFe2Ag
_chemical_formula_sum 'Y1 Fe2 Ag1'
_space_group_name_H-M_alt 'P m m m'
_space_group_IT_number 47
_cell_length_a 3.300
_cell_length_b 3.516
_cell_length_c 6.211
_cell_angle_alpha 90.00
_cell_angle_beta 90.00
_cell_angle_gamma 90.00
loop_
_space_group_symop_operation_xyz
'x,y,z'
'-x,-y,-z'
'-x,-y,z'
'x,y,-z'
'x,-y,-z'
'-x,y,z'
'-x,y,-z'
'x,-y,z'
loop_
_atom_site_label
_atom_site_fract_x
_atom_site_fract_y
_atom_site_fract_z
Y1 0.000 0.000 0.000
Fe1 0.500 0.500 0.306
Ag1 0.000 0.000 0.500

=====

[12]
# PBE-GGA YFe2Ag, relaxed
# Excess energy over the best structure of this formula in the dataset   150 meV/atom
data_YFe2Ag
_chemical_formula_sum 'Y2 Fe4 Ag2'
_space_group_name_H-M_alt 'C 1 2/m 1'
_space_group_IT_number 12
_cell_length_a 9.011
_cell_length_b 3.725
_cell_length_c 4.879
_cell_angle_alpha 90.00
_cell_angle_beta 113.82
_cell_angle_gamma 90.00
loop_
_space_group_symop_operation_xyz
'x,y,z'
'-x,-y,-z'
'-x,y,-z'
'x,-y,z'
'x+1/2,y+1/2,z'
'-x+1/2,-y+1/2,-z'
'-x+1/2,y+1/2,-z'
'x+1/2,-y+1/2,z'
loop_
_atom_site_label
_atom_site_fract_x
_atom_site_fract_y
_atom_site_fract_z
Y1 0.000 0.000 0.000
Fe1 0.235 0.000 0.637
Ag1 0.000 0.500 0.500

=====

[13]
# PBE-GGA YFe2Ag, relaxed
# Excess energy over the best structure of this formula in the dataset   54 meV/atom
data_YFe2Ag
_chemical_formula_sum 'Y2 Fe4 Ag2'
_space_group_name_H-M_alt 'I m m 2'
_space_group_IT_number 44
_cell_length_a 3.470
_cell_length_b 4.539
_cell_length_c 8.864
_cell_angle_alpha 90.00
_cell_angle_beta 90.00
_cell_angle_gamma 90.00
loop_
_space_group_symop_operation_xyz
'x,y,z'
'-x,-y,z'
'-x,y,z'
'x,-y,z'
'x+1/2,y+1/2,z+1/2'
'-x+1/2,-y+1/2,z+1/2'
'-x+1/2,y+1/2,z+1/2'
'x+1/2,-y+1/2,z+1/2'
loop_
_atom_site_label
_atom_site_fract_x
_atom_site_fract_y
_atom_site_fract_z
Y1 0.000 0.000 0.000
Fe1 0.000 0.000 0.546
Fe2 0.000 0.500 0.228
Ag1 0.000 0.500 0.778

=====

[14]
The following is a DFT calculation (PBE-GGA) of a relaxed YFe4Ag crystal.

The structure in CIF format:
```
data_YFe4Ag
_chemical_formula_sum 'Y4 Fe16 Ag4'
_space_group_name_H-M_alt 'F -4 3 m'
_space_group_IT_number 216
_space_group_name_Hall 'F -4 2 3'
_cell_length_a 7.141
_cell_length_b 7.141
_cell_length_c 7.141
_cell_angle_alpha 90.00
_cell_angle_beta 90.00
_cell_angle_gamma 90.00
loop_
_atom_site_label
_atom_site_fract_x
_atom_site_fract_y
_atom_site_fract_z
Y1 0.000 0.000 0.000
Fe1 0.125 0.125 0.375
Ag1 0.250 0.250 0.750
```

=====

[15]
# PBE-GGA YFeAg3, relaxed
# Excess energy over the best structure of this formula in the dataset   0 meV/atom
data_YFeAg3
_chemical_formula_sum 'Y1 Fe1 Ag3'
_space_group_name_H-M_alt 'P m -3 m'
_space_group_IT_number 221
_space_group_name_Hall '-P 4 2 3'
_cell_length_a 4.852
_cell_length_b 4.852
_cell_length_c 4.852
_cell_angle_alpha 90.00
_cell_angle_beta 90.00
_cell_angle_gamma 90.00
loop_
_atom_site_label
_atom_site_fract_x
_atom_site_fract_y
_atom_site_fract_z
Y1 0.000 0.000 0.000
Fe1 0.500 0.500 0.500
Ag1 0.000 0.500 0.500

=====

[16]
# PBE-GGA YFe2Ag, relaxed
# Excess energy over the best structure of this formula in the dataset   412 meV/atom
data_YFe2Ag
_chemical_formula_sum 'Y4 Fe8 Ag4'
_space_group_name_H-M_alt 'I -4 2 d'
_space_group_IT_number 122
_space_group_name_Hall 'I -4 2bw'
_cell_length_a 4.103
_cell_length_b 4.103
_cell_length_c 18.819
_cell_angle_alpha 90.00
_cell_angle_beta 90.00
_cell_angle_gamma 90.00
loop_
_atom_site_label
_atom_site_fract_x
_atom_site_fract_y
_atom_site_fract_z
Y1 0.000 0.000 0.000
Fe1 0.142 0.250 0.625
Ag1 0.000 0.000 0.500

=====

[17]
# PBE-GGA YFe2Ag, relaxed
# Excess energy over the best structure of this formula in the dataset   138 meV/atom
data_YFe2Ag
_chemical_formula_sum 'Y4 Fe8 Ag4'
_space_group_name_H-M_alt 'F -4 3 m'
_space_group_IT_number 216
_space_group_name_Hall 'F -4 2 3'
_cell_length_a 6.554
_cell_length_b 6.554
_cell_length_c 6.554
_cell_angle_alpha 90.00
_cell_angle_beta 90.00
_cell_angle_gamma 90.00
loop_
_atom_site_label
_atom_site_fract_x
_atom_site_fract_y
_atom_site_fract_z
Y1 0.000 0.000 0.000
Fe1 0.000 0.000 0.500
Fe2 0.250 0.250 0.250
Ag1 0.250 0.250 0.750

=====

[18]
# PBE-GGA YFe2Ag, relaxed
# Excess energy over the best structure of this formula in the dataset   154 meV/atom
data_YFe2Ag
_chemical_formula_sum 'Y1 Fe2 Ag1'
_space_group_name_H-M_alt 'P 4/m m m'
_space_group_IT_number 123
_space_group_name_Hall '-P 4 2'
_cell_length_a 4.087
_cell_length_b 4.087
_cell_length_c 4.057
_cell_angle_alpha 90.00
_cell_angle_beta 90.00
_cell_angle_gamma 90.00
loop_
_atom_site_label
_atom_site_fract_x
_atom_site_fract_y
_atom_site_fract_z
Y1 0.000 0.000 0.000
Fe1 0.000 0.500 0.500
Ag1 0.500 0.500 0.000

=====

[19]
# PBE-GGA YFe2Ag, relaxed
# Excess energy over the best structure of this formula in the dataset   283 meV/atom
data_YFe2Ag
_chemical_formula_sum 'Y3 Fe6 Ag3'
_space_group_name_H-M_alt 'R 3 m'
_space_group_IT_number 160
_space_group_name_Hall 'R 3 -2"'
_cell_length_a 3.1089
_cell_length_b 3.1089
_cell_length_c 26.1063
_cell_angle_alpha 90.00
_cell_angle_beta 90.00
_cell_angle_gamma 120.00
loop_
_atom_site_label
_atom_site_fract_x
_atom_site_fract_y
_atom_site_fract_z
Y1 0.0000 0.0000 0.0000
Fe1 0.0000 0.0000 0.4849
Fe2 0.0000 0.0000 0.7558
Ag1 0.0000 0.0000 0.2328

=====

[20]
# PBE-GGA YFe2Ag, relaxed
# Excess energy over the best structure of this formula in the dataset   235 meV/atom
data_YFe2Ag
_chemical_formula_sum 'Y4 Fe8 Ag4'
_space_group_name_H-M_alt 'F m -3 m'
_space_group_IT_number 225
_space_group_name_Hall '-F 4 2 3'
_cell_length_a 6.524
_cell_length_b 6.524
_cell_length_c 6.524
_cell_angle_alpha 90.00
_cell_angle_beta 90.00
_cell_angle_gamma 90.00
loop_
_atom_site_label
_atom_site_fract_x
_atom_site_fract_y
_atom_site_fract_z
Y1 0.000 0.000 0.000
Fe1 0.250 0.250 0.250
Ag1 0.000 0.000 0.500

=====

no.,energy of formation (meV per atom)
1,473
2,643
3,316
4,444
5,654
6,643
7,2708
8,1468
9,407
10,621
11,350
12,293
13,197
14,53
15,479
16,555
17,281
18,296
19,426
20,377